1.
A relaxed CaAcC2O6 crystal. Source: the Alexandria database, functional GGA-PBE.

Cell and atoms, written as POSCAR:
```
CaAcC2O6
1.0
-6.107 1.772 1.130
-1.250 -4.413 -4.547
1.753 -3.667 5.497
Ca O C Ac
2 12 4 2
direct
0.407 0.593 0.750 Ca
0.593 0.407 0.250 Ca
0.183 0.190 0.110 O
0.513 0.277 0.873 O
0.277 0.513 0.373 O
0.810 0.817 0.390 O
0.487 0.723 0.127 O
0.929 0.399 0.155 O
0.601 0.071 0.345 O
0.190 0.183 0.610 O
0.071 0.601 0.845 O
0.399 0.929 0.655 O
0.817 0.810 0.890 O
0.723 0.487 0.627 O
0.122 0.353 0.233 C
0.878 0.647 0.767 C
0.647 0.878 0.267 C
0.353 0.122 0.733 C
0.148 0.852 0.250 Ac
0.852 0.148 0.750 Ac
```

Summary:
E_tot in eV/f.u.: -75.6
ΔE_f (raw) in eV per atom: -2.128

=====

2.
A relaxed Na2NiH6Ir crystal. Source: the Alexandria database, functional GGA-PBE.

Cell and atoms, written as POSCAR:
```
Na2NiH6Ir
1.0
4.966 -0.005 0.008
-0.005 4.966 0.008
2.486 2.486 3.472
Na H Ni Ir
2 6 1 1
direct
0.250 0.750 0.500 Na
0.750 0.250 0.500 Na
0.251 0.749 0.000 H
0.251 0.251 0.999 H
0.749 0.251 0.000 H
0.249 0.249 0.504 H
0.751 0.751 0.496 H
0.749 0.749 0.001 H
0.000 0.000 0.000 Ni
0.500 0.500 0.000 Ir
```

Summary:
E_tot in eV/f.u.: -39.5

=====

3.
A relaxed FeAs3 crystal. Source: the Alexandria database, functional GGA-PBE.

Cell and atoms, written as POSCAR:
```
FeAs3
1.0
-1.223 -1.933 1.749
0.892 -2.109 -1.707
7.240 -0.800 4.180
As Fe
3 1
direct
0.000 0.768 0.073 As
0.500 0.750 0.750 As
0.000 0.732 0.427 As
0.500 0.250 0.250 Fe
```

Summary:
ΔH_f (0 K) in eV/atom: 0.13
E above lowest polymorph in meV per atom: 79
E_tot in eV/f.u.: -21.9

=====

4.
A relaxed ReAgSe3 crystal. Source: the Alexandria database, functional GGA-PBE.

Cell and atoms, written as POSCAR:
```
ReAgSe3
1.0
-0.262 4.752 1.255
-4.849 -0.454 0.709
0.800 -1.199 4.706
Re Ag Se
1 1 3
direct
0.000 0.000 0.000 Re
0.500 0.500 0.500 Ag
0.000 0.000 0.500 Se
0.500 0.000 0.000 Se
0.000 0.500 0.000 Se
```

Summary:
E above lowest polymorph in meV per atom: 0
E_tot in eV/f.u.: -22.9
ΔE_f (raw) in eV per atom: 0.570